The following is a PBE with a Hubbard U calculation of a geometry-optimized MnTc2O5 structure, from the Alexandria database.

a = 6.498 Å, b = 5.935 Å, c = 5.903 Å
α = 60.62°, β = 44.31°, γ = 44.37°
Atoms (fractional coordinates):
Mn1 0.095 0.843 0.850
Tc1 0.552 0.648 0.060
Tc2 0.549 0.063 0.648
O1 0.469 0.490 0.491
O2 0.057 0.268 0.810
O3 0.059 0.813 0.268
O4 0.597 0.684 0.678
O5 0.621 0.970 0.972

Summary:
The calculation puts the total DFT energy (no corrections) at -7.77 eV/atom. The space-group type is P1. Its density of states at the Fermi level is 0.235 states/eV/atom.